# 1
# PBE Dy3Y4Ni2Te2, optimized geometry
# Magnetization = 0.1 μB/cell
# E = -0.2156 hartree per atom
data_Dy3Y4Ni2Te2
_chemical_formula_sum 'Dy6 Y8 Ni4 Te4'
_cell_length_a 3.8628
_cell_length_b 15.6847
_cell_length_c 9.6126
_cell_angle_alpha 90.00
_cell_angle_beta 90.00
_cell_angle_gamma 90.00
_space_group_name_H-M_alt 'I m m 2'
_space_group_IT_number 44
loop_
_space_group_symop_operation_xyz
'x,y,z'
'-x,-y,z'
'-x,y,z'
'x,-y,z'
'x+1/2,y+1/2,z+1/2'
'-x+1/2,-y+1/2,z+1/2'
'-x+1/2,y+1/2,z+1/2'
'x+1/2,-y+1/2,z+1/2'
loop_
_atom_site_label
_atom_site_type_symbol
_atom_site_fract_x
_atom_site_fract_y
_atom_site_fract_z
Dy1 Dy 0.0000 0.0000 0.0000
Dy2 Dy 0.0000 0.3530 0.2708
Y1 Y 0.0000 0.1311 0.4183
Y2 Y 0.0000 0.3156 0.6203
Ni1 Ni 0.0000 0.2375 0.9266
Te1 Te 0.0000 0.0000 0.6650
Te2 Te 0.0000 0.5000 0.7640


# 2
# PBE Dy4Y3Ni2Te2, optimized geometry
# Magnetization = 0.0 μB/cell
# E = -0.2095 hartree per atom
data_Dy4Y3Ni2Te2
_chemical_formula_sum 'Dy8 Y6 Ni4 Te4'
_cell_length_a 3.8616
_cell_length_b 15.6951
_cell_length_c 9.6140
_cell_angle_alpha 90.00
_cell_angle_beta 90.00
_cell_angle_gamma 90.00
_space_group_name_H-M_alt 'I m m 2'
_space_group_IT_number 44
loop_
_space_group_symop_operation_xyz
'x,y,z'
'-x,-y,z'
'-x,y,z'
'x,-y,z'
'x+1/2,y+1/2,z+1/2'
'-x+1/2,-y+1/2,z+1/2'
'-x+1/2,y+1/2,z+1/2'
'x+1/2,-y+1/2,z+1/2'
loop_
_atom_site_label
_atom_site_type_symbol
_atom_site_fract_x
_atom_site_fract_y
_atom_site_fract_z
Dy1 Dy 0.0000 0.1324 0.0000
Dy2 Dy 0.0000 0.3531 0.8520
Y1 Y 0.0000 0.0000 0.5816
Y2 Y 0.0000 0.3155 0.2029
Ni1 Ni 0.0000 0.2383 0.5073
Te1 Te 0.0000 0.0000 0.2459
Te2 Te 0.0000 0.5000 0.3461


# 3
# PBE Dy3Y4Ni2Te2, optimized geometry
# Magnetization = 0.0 μB/cell
# E = -0.2156 hartree per atom
data_Dy3Y4Ni2Te2
_chemical_formula_sum 'Dy6 Y8 Ni4 Te4'
_cell_length_a 3.8622
_cell_length_b 15.6672
_cell_length_c 9.6097
_cell_angle_alpha 90.00
_cell_angle_beta 90.00
_cell_angle_gamma 90.00
_space_group_name_H-M_alt 'I m m 2'
_space_group_IT_number 44
loop_
_space_group_symop_operation_xyz
'x,y,z'
'-x,-y,z'
'-x,y,z'
'x,-y,z'
'x+1/2,y+1/2,z+1/2'
'-x+1/2,-y+1/2,z+1/2'
'-x+1/2,y+1/2,z+1/2'
'x+1/2,-y+1/2,z+1/2'
loop_
_atom_site_label
_atom_site_type_symbol
_atom_site_fract_x
_atom_site_fract_y
_atom_site_fract_z
Dy1 Dy 0.0000 0.0000 0.0000
Dy2 Dy 0.0000 0.1314 0.4180
Y1 Y 0.0000 0.3156 0.6195
Y2 Y 0.0000 0.3537 0.2680
Ni1 Ni 0.0000 0.2386 0.9279
Te1 Te 0.0000 0.0000 0.6641
Te2 Te 0.0000 0.5000 0.7641


# 4
# PBE Dy5Y2Ni2Te2, optimized geometry
# Magnetization = 0.0 μB/cell
# E = -0.2032 hartree per atom
data_Dy5Y2Ni2Te2
_chemical_formula_sum 'Dy10 Y4 Ni4 Te4'
_cell_length_a 3.8595
_cell_length_b 15.6630
_cell_length_c 9.6005
_cell_angle_alpha 90.00
_cell_angle_beta 90.00
_cell_angle_gamma 90.00
_space_group_name_H-M_alt 'I m m 2'
_space_group_IT_number 44
loop_
_space_group_symop_operation_xyz
'x,y,z'
'-x,-y,z'
'-x,y,z'
'x,-y,z'
'x+1/2,y+1/2,z+1/2'
'-x+1/2,-y+1/2,z+1/2'
'-x+1/2,y+1/2,z+1/2'
'x+1/2,-y+1/2,z+1/2'
loop_
_atom_site_label
_atom_site_type_symbol
_atom_site_fract_x
_atom_site_fract_y
_atom_site_fract_z
Dy1 Dy 0.0000 0.0000 0.0000
Dy2 Dy 0.0000 0.1314 0.4179
Dy3 Dy 0.0000 0.3156 0.6193
Y1 Y 0.0000 0.3537 0.2679
Ni1 Ni 0.0000 0.2385 0.9280
Te1 Te 0.0000 0.0000 0.6641
Te2 Te 0.0000 0.5000 0.7641


# 5
# PBE Dy4Y3Ni2Te2, optimized geometry
# Magnetization = 0.0 μB/cell
# E = -0.2096 hartree per atom
data_Dy4Y3Ni2Te2
_chemical_formula_sum 'Dy8 Y6 Ni4 Te4'
_cell_length_a 3.8609
_cell_length_b 15.6668
_cell_length_c 9.6015
_cell_angle_alpha 90.00
_cell_angle_beta 90.00
_cell_angle_gamma 90.00
_space_group_name_H-M_alt 'I m m 2'
_space_group_IT_number 44
loop_
_space_group_symop_operation_xyz
'x,y,z'
'-x,-y,z'
'-x,y,z'
'x,-y,z'
'x+1/2,y+1/2,z+1/2'
'-x+1/2,-y+1/2,z+1/2'
'-x+1/2,y+1/2,z+1/2'
'x+1/2,-y+1/2,z+1/2'
loop_
_atom_site_label
_atom_site_type_symbol
_atom_site_fract_x
_atom_site_fract_y
_atom_site_fract_z
Dy1 Dy 0.0000 0.1314 0.0000
Dy2 Dy 0.0000 0.3155 0.2014
Y1 Y 0.0000 0.0000 0.5821
Y2 Y 0.0000 0.3537 0.8500
Ni1 Ni 0.0000 0.2385 0.5101
Te1 Te 0.0000 0.0000 0.2461
Te2 Te 0.0000 0.5000 0.3462


# 6
# PBE Dy2Y5Ni2Te2, optimized geometry
# Magnetization = 0.0 μB/cell
# E = -0.2220 hartree per atom
data_Dy2Y5Ni2Te2
_chemical_formula_sum 'Dy4 Y10 Ni4 Te4'
_cell_length_a 3.8672
_cell_length_b 15.6862
_cell_length_c 9.6034
_cell_angle_alpha 90.00
_cell_angle_beta 90.00
_cell_angle_gamma 90.00
_space_group_name_H-M_alt 'I m m 2'
_space_group_IT_number 44
loop_
_space_group_symop_operation_xyz
'x,y,z'
'-x,-y,z'
'-x,y,z'
'x,-y,z'
'x+1/2,y+1/2,z+1/2'
'-x+1/2,-y+1/2,z+1/2'
'-x+1/2,y+1/2,z+1/2'
'x+1/2,-y+1/2,z+1/2'
loop_
_atom_site_label
_atom_site_type_symbol
_atom_site_fract_x
_atom_site_fract_y
_atom_site_fract_z
Dy1 Dy 0.0000 0.1471 0.0000
Y1 Y 0.0000 0.1847 0.3494
Y2 Y 0.0000 0.3689 0.1474
Y3 Y 0.0000 0.5000 0.7295
Ni1 Ni 0.0000 0.2626 0.6557
Te1 Te 0.0000 0.0000 0.4932
Te2 Te 0.0000 0.5000 0.3939


# 7
# PBE DyThNi, optimized geometry
# Formation enthalpy at 0 K = -0.0510 eV per atom
# Magnetization = 0.0 μB/cell
# E = -0.2173 hartree per atom
data_DyThNi
_chemical_formula_sum 'Dy4 Th4 Ni4'
_cell_length_a 6.7745
_cell_length_b 6.7745
_cell_length_c 6.7745
_cell_angle_alpha 90.00
_cell_angle_beta 90.00
_cell_angle_gamma 90.00
_space_group_name_H-M_alt 'F -4 3 m'
_space_group_IT_number 216
_space_group_name_Hall 'F -4 2 3'
loop_
_atom_site_label
_atom_site_type_symbol
_atom_site_fract_x
_atom_site_fract_y
_atom_site_fract_z
Dy1 Dy 0.0000 0.0000 0.0000
Th1 Th 0.0000 0.0000 0.5000
Ni1 Ni 0.2500 0.2500 0.2500


# 8
# PBE Dy12TlNi6, optimized geometry
# Magnetization = 0.4 μB/cell
# E = -0.1892 hartree per atom
data_Dy12TlNi6
_chemical_formula_sum 'Dy24 Tl2 Ni12'
_cell_length_a 9.6856
_cell_length_b 9.6856
_cell_length_c 9.6856
_cell_angle_alpha 90.00
_cell_angle_beta 90.00
_cell_angle_gamma 90.00
_space_group_name_H-M_alt 'I m -3'
_space_group_IT_number 204
_space_group_name_Hall '-I 2 2 3'
loop_
_atom_site_label
_atom_site_type_symbol
_atom_site_fract_x
_atom_site_fract_y
_atom_site_fract_z
Dy1 Dy 0.0000 0.1874 0.3035
Tl1 Tl 0.0000 0.0000 0.0000
Ni1 Ni 0.0000 0.3768 0.5000